(1)
## HfIn2PO (GGA-PBE)

Data for HfIn2PO after structural relaxation.

For the uncorrected formation energy, the calculation gives -0.313 eV/atom. For the theoretical density, the calculation gives 7.19 g/cm³. For the total magnetization, the calculation gives 0.00 μB/f.u.

It has space group P4/mmm (No. 123), with a = 5.078 Å, b = 5.078 Å, c = 4.077 Å, α = 90.00°, β = 90.00° and γ = 90.00°. The inequivalent atoms are Hf at (0.000, 0.000, 0.000), In at (0.000, 0.500, 0.500), P at (0.500, 0.500, 0.000) and O at (0.000, 0.000, 0.500).

(2)
## HfPaInO6 (GGA-PBE)

Data for HfPaInO6 after structural relaxation.

For the uncorrected formation energy, the calculation gives -2.949 eV/atom. For the theoretical density, the calculation gives 8.31 g/cm³. For the total magnetization, the calculation gives 0.00 μB/f.u.

It has space group P-31c (No. 163), with a = 5.4385 Å, b = 5.4385 Å, c = 9.6826 Å, α = 90.00°, β = 90.00° and γ = 120.00°. The inequivalent atoms are Hf at (0.3333, 0.6667, 0.2500), Pa at (0.0000, 0.0000, 0.0000), In at (0.3333, 0.6667, 0.7500) and O at (0.0152, 0.3409, 0.1306).

(3)
## HfInPb2O6 (GGA-PBE)

Data for HfInPb2O6 after structural relaxation.

For the uncorrected formation energy, the calculation gives -1.837 eV/atom. For the theoretical density, the calculation gives 9.38 g/cm³. For the total magnetization, the calculation gives 0.00 μB/f.u.

It has space group P2_1/c (No. 14), with a = 5.781 Å, b = 5.929 Å, c = 10.111 Å, α = 90.00°, β = 124.84° and γ = 90.00°. The inequivalent atoms are Hf at (0.000, 0.000, 0.000), In at (0.500, 0.000, 0.500), Pb at (0.259, 0.037, 0.751), O at (0.147, 0.031, 0.243), O at (0.241, 0.707, 0.050) and O at (0.342, 0.193, 0.045).

(4)
## PuHfInO6 (GGA-PBE)

Data for PuHfInO6 after structural relaxation.

For the uncorrected formation energy, the calculation gives -2.555 eV/atom. For the theoretical density, the calculation gives 8.59 g/cm³. For the total magnetization, the calculation gives 3.00 μB/f.u.

It has space group P-31c (No. 163), with a = 5.5538 Å, b = 5.5538 Å, c = 9.1624 Å, α = 90.00°, β = 90.00° and γ = 120.00°. The inequivalent atoms are Pu at (0.3333, 0.6667, 0.2500), Hf at (0.3333, 0.6667, 0.7500), In at (0.0000, 0.0000, 0.0000) and O at (0.0065, 0.3458, 0.6325).

(5)
## Rb2HfInO (GGA-PBE)

Data for Rb2HfInO after structural relaxation.

For the uncorrected formation energy, the calculation gives -0.524 eV/atom. For the theoretical density, the calculation gives 4.74 g/cm³. For the total magnetization, the calculation gives 0.00 μB/f.u.

It has space group P4/mmm (No. 123), with a = 6.460 Å, b = 6.460 Å, c = 4.031 Å, α = 90.00°, β = 90.00° and γ = 90.00°. The inequivalent atoms are Rb at (0.000, 0.500, 0.000), Hf at (0.000, 0.000, 0.500), In at (0.500, 0.500, 0.500) and O at (0.000, 0.000, 0.000).

(6)
## HfInRuO6 (GGA-PBE)

Data for HfInRuO6 after structural relaxation.

For the uncorrected formation energy, the calculation gives -1.875 eV/atom. For the theoretical density, the calculation gives 7.27 g/cm³. For the total magnetization, the calculation gives 2.84 μB/f.u.

It has space group P4_2nm (No. 102), with a = 4.832 Å, b = 4.832 Å, c = 9.595 Å, α = 90.00°, β = 90.00° and γ = 90.00°. The inequivalent atoms are Hf at (0.000, 0.000, 0.000), In at (0.000, 0.000, 0.331), Ru at (0.000, 0.000, 0.666), O at (0.184, 0.184, 0.826), O at (0.195, 0.195, 0.513) and O at (0.210, 0.210, 0.157).

(7)
## SrHfInSbO6 (GGA-PBE)

Data for SrHfInSbO6 after structural relaxation.

For the uncorrected formation energy, the calculation gives -2.236 eV/atom. For the theoretical density, the calculation gives 7.21 g/cm³. For the total magnetization, the calculation gives 0.00 μB/f.u.

It has space group F-43m (No. 216), with a = 8.199 Å, b = 8.199 Å, c = 8.199 Å, α = 90.00°, β = 90.00° and γ = 90.00°. The inequivalent atoms are Sr at (0.000, 0.000, 0.000), Hf at (0.250, 0.250, 0.750), In at (0.000, 0.000, 0.500), Sb at (0.250, 0.250, 0.250) and O at (0.004, 0.250, 0.250).

(8)
## Hf2ScInO (GGA-PBE)

Data for Hf2ScInO after structural relaxation.

For the uncorrected formation energy, the calculation gives -1.111 eV/atom. For the theoretical density, the calculation gives 9.85 g/cm³. For the total magnetization, the calculation gives 0.00 μB/f.u.

It has space group P4/mmm (No. 123), with a = 4.399 Å, b = 4.399 Å, c = 4.641 Å, α = 90.00°, β = 90.00° and γ = 90.00°. The inequivalent atoms are Hf at (0.000, 0.500, 0.000), Sc at (0.000, 0.000, 0.500), In at (0.500, 0.500, 0.500) and O at (0.000, 0.000, 0.000).

(9)
## HfSc2InO (GGA-PBE)

Data for HfSc2InO after structural relaxation.

For the uncorrected formation energy, the calculation gives -1.289 eV/atom. For the theoretical density, the calculation gives 7.43 g/cm³. For the total magnetization, the calculation gives 0.00 μB/f.u.

It has space group P4/mmm (No. 123), with a = 4.531 Å, b = 4.531 Å, c = 4.347 Å, α = 90.00°, β = 90.00° and γ = 90.00°. The inequivalent atoms are Hf at (0.000, 0.000, 0.000), Sc at (0.000, 0.500, 0.500), In at (0.500, 0.500, 0.000) and O at (0.000, 0.000, 0.500).

(10)
## Sr2HfInO6 (GGA-PBE)

Data for Sr2HfInO6 after structural relaxation.

For the uncorrected formation energy, the calculation gives -2.583 eV/atom. For the theoretical density, the calculation gives 6.53 g/cm³. For the total magnetization, the calculation gives 1.11 μB/f.u.

It has space group P2_1/c (No. 14), with a = 5.845 Å, b = 5.920 Å, c = 10.134 Å, α = 90.00°, β = 125.08° and γ = 90.00°. The inequivalent atoms are Sr at (0.240, 0.038, 0.249), Hf at (0.500, 0.000, 0.000), In at (0.000, 0.000, 0.500), O at (0.178, 0.207, 0.960), O at (0.251, 0.720, 0.957) and O at (0.335, 0.024, 0.756).

(11)
## SrHfTiInO6 (GGA-PBE)

Data for SrHfTiInO6 after structural relaxation.

For the uncorrected formation energy, the calculation gives -2.711 eV/atom. For the theoretical density, the calculation gives 6.65 g/cm³. For the total magnetization, the calculation gives 0.00 μB/f.u.

It has space group F-43m (No. 216), with a = 8.061 Å, b = 8.061 Å, c = 8.061 Å, α = 90.00°, β = 90.00° and γ = 90.00°. The inequivalent atoms are Sr at (0.000, 0.000, 0.000), Hf at (0.250, 0.250, 0.250), Ti at (0.250, 0.250, 0.750), In at (0.000, 0.000, 0.500) and O at (0.006, 0.250, 0.750).

(12)
## HfTaInO6 (GGA-PBE)

Data for HfTaInO6 after structural relaxation.

For the uncorrected formation energy, the calculation gives -2.672 eV/atom. For the theoretical density, the calculation gives 8.28 g/cm³. For the total magnetization, the calculation gives 0.00 μB/f.u.

It has space group P-31c (No. 163), with a = 5.3474 Å, b = 5.3474 Å, c = 9.2338 Å, α = 90.00°, β = 90.00° and γ = 120.00°. The inequivalent atoms are Hf at (0.3333, 0.6667, 0.2500), Ta at (0.3333, 0.6667, 0.7500), In at (0.0000, 0.0000, 0.0000) and O at (0.0116, 0.3547, 0.6339).